Model A:
{
  "formula": "NaHoNiTe3",
  "functional": "PBE",
  "state": "optimized geometry",
  "lattice": [[-1.685, -4.962, -7.209], [3.928, -1.398, 0.044], [-2.073, -5.572, 7.929]],
  "species": ["Ni", "Ho", "Te", "Ho", "Ni", "Te", "Te", "Na", "Te", "Te", "Te", "Na"],
  "fractional_positions": [[0.097, 0.250, 0.606], [0.319, 0.750, 0.849], [0.438, 0.750, 0.171], [0.681, 0.250, 0.151], [0.903, 0.750, 0.394], [0.196, 0.750, 0.520], [0.076, 0.250, 0.856], [0.791, 0.750, 0.750], [0.562, 0.250, 0.829], [0.924, 0.750, 0.144], [0.804, 0.250, 0.480], [0.209, 0.250, 0.250]]
}

Model B:
{
  "formula": "NaHoNiTe3",
  "functional": "PBE",
  "state": "optimized geometry",
  "lattice": [[-12.063, -1.068, -0.468], [0.259, -3.776, 1.938], [-0.917, 5.554, 10.947]],
  "species": ["Te", "Te", "Te", "Te", "Te", "Ni", "Ni", "Na", "Ni", "Te", "Na", "Ni", "Te", "Te", "Te", "Na", "Te", "Ho", "Na", "Ho", "Ho", "Ho", "Te", "Te"],
  "fractional_positions": [[0.297, 0.750, 0.804], [0.099, 0.750, 0.074], [0.797, 0.750, 0.696], [0.703, 0.250, 0.196], [0.449, 0.750, 0.125], [0.237, 0.250, 0.714], [0.737, 0.250, 0.786], [0.209, 0.750, 0.508], [0.263, 0.750, 0.214], [0.401, 0.250, 0.574], [0.709, 0.750, 0.992], [0.763, 0.750, 0.286], [0.203, 0.250, 0.304], [0.551, 0.250, 0.875], [0.599, 0.750, 0.426], [0.291, 0.250, 0.008], [0.949, 0.750, 0.375], [0.041, 0.750, 0.802], [0.791, 0.250, 0.492], [0.959, 0.250, 0.198], [0.459, 0.250, 0.302], [0.541, 0.750, 0.698], [0.051, 0.250, 0.625], [0.901, 0.250, 0.926]]
}

Model C:
{
  "formula": "NaHoNiTe3",
  "functional": "PBE",
  "state": "optimized geometry",
  "lattice": [[-0.826, -5.608, 9.061], [1.857, -3.224, -1.826], [13.612, 5.287, 4.514]],
  "species": ["Ni", "Te", "Ni", "Te", "Ni", "Ho", "Te", "Ho", "Te", "Na", "Te", "Te", "Ho", "Na", "Te", "Ho", "Ni", "Na", "Te", "Te", "Na", "Te", "Te", "Te"],
  "fractional_positions": [[0.238, 0.750, 0.239], [0.927, 0.250, 0.881], [0.738, 0.750, 0.261], [0.573, 0.750, 0.381], [0.262, 0.250, 0.739], [0.514, 0.750, 0.751], [0.900, 0.750, 0.383], [0.014, 0.750, 0.749], [0.073, 0.750, 0.119], [0.768, 0.750, 0.999], [0.763, 0.750, 0.659], [0.237, 0.250, 0.341], [0.486, 0.250, 0.249], [0.732, 0.250, 0.499], [0.263, 0.750, 0.841], [0.986, 0.250, 0.251], [0.762, 0.250, 0.761], [0.232, 0.250, 0.001], [0.600, 0.250, 0.883], [0.737, 0.250, 0.159], [0.268, 0.750, 0.501], [0.400, 0.750, 0.117], [0.427, 0.250, 0.619], [0.100, 0.250, 0.617]]
}

Which is most stable? The ranking, best first, is model A, model C, model B.

Model A:
{
  "formula": "NaHoSeO",
  "functional": "PBE",
  "state": "optimized geometry",
  "lattice": [[5.583, 0.000, -0.677], [0.000, 5.630, 0.000], [-1.731, 0.000, 10.654]],
  "species": ["Se", "O", "Ho", "Na", "Se", "Na", "O", "Ho", "Se", "O", "Na", "Se", "Ho", "O", "Na", "Ho"],
  "fractional_positions": [[0.600, 0.620, 0.688], [0.750, 0.604, 0.000], [0.447, 0.856, 0.899], [0.949, 0.120, 0.402], [0.100, 0.120, 0.688], [0.551, 0.119, 0.598], [0.750, 0.105, 0.000], [0.553, 0.356, 0.101], [0.400, 0.120, 0.312], [0.250, 0.104, 0.000], [0.051, 0.620, 0.598], [0.900, 0.620, 0.312], [0.947, 0.356, 0.899], [0.250, 0.605, 0.000], [0.449, 0.619, 0.402], [0.053, 0.856, 0.101]]
}

Model B:
{
  "formula": "NaHoSeO",
  "functional": "PBE",
  "state": "optimized geometry",
  "lattice": [[3.978, 0.000, 0.000], [0.000, 3.978, 0.000], [0.000, 0.000, 9.513]],
  "species": ["Se", "Ho", "Ho", "O", "Se", "Na", "O", "Na"],
  "fractional_positions": [[0.250, 0.250, 0.709], [0.750, 0.750, 0.889], [0.250, 0.250, 0.111], [0.250, 0.750, 0.000], [0.750, 0.750, 0.291], [0.250, 0.750, 0.500], [0.750, 0.250, 0.000], [0.750, 0.250, 0.500]]
}

Model C:
{
  "formula": "NaHoSeO",
  "functional": "PBE",
  "state": "optimized geometry",
  "lattice": [[4.390, 0.000, 0.000], [0.000, 7.465, 0.000], [0.000, 0.000, 6.180]],
  "species": ["Na", "O", "Na", "O", "Se", "Ho", "Ho", "Se"],
  "fractional_positions": [[0.000, 0.289, 0.119], [0.500, 0.115, 0.191], [0.000, 0.711, 0.619], [0.500, 0.885, 0.691], [0.000, 0.321, 0.651], [0.500, 0.132, 0.530], [0.500, 0.868, 0.030], [0.000, 0.679, 0.151]]
}

Which is most stable? The ranking, best first, is model A, model B, model C.

Model A:
{
  "formula": "NaHoTeO",
  "functional": "PBE",
  "state": "optimized geometry",
  "lattice": [[0.986, -6.172, 3.401], [4.494, -4.738, 2.826], [2.360, -3.469, 5.747]],
  "species": ["Na", "Ho", "O", "Te"],
  "fractional_positions": [[0.511, 0.511, 0.511], [0.977, 0.977, 0.977], [0.268, 0.268, 0.268], [0.744, 0.744, 0.744]]
}

Model B:
{
  "formula": "NaHoTeO",
  "functional": "PBE",
  "state": "optimized geometry",
  "lattice": [[-1.827, -0.184, 7.118], [-1.592, -7.317, -0.597], [6.425, -1.439, 0.506]],
  "species": ["O", "Ho", "Ho", "Te", "Na", "Te", "Te", "O", "Na", "Na", "O", "Ho", "O", "Na", "Ho", "Te"],
  "fractional_positions": [[0.588, 0.150, 0.608], [0.530, 0.625, 0.216], [0.470, 0.125, 0.284], [0.799, 0.922, 0.146], [0.109, 0.795, 0.472], [0.799, 0.578, 0.646], [0.201, 0.078, 0.854], [0.588, 0.350, 0.108], [0.891, 0.295, 0.028], [0.891, 0.205, 0.528], [0.412, 0.650, 0.892], [0.470, 0.375, 0.784], [0.412, 0.850, 0.392], [0.109, 0.705, 0.972], [0.530, 0.875, 0.716], [0.201, 0.422, 0.354]]
}

Which is most stable? The ranking, best first, is model B, model A.